Density functional theory data (GGA-PBE) for crystalline BiS2ICl at its relaxed geometry.

CIF file:
```
data_BiS2ICl
_cell_length_a 5.4358
_cell_length_b 5.4358
_cell_length_c 5.3309
_cell_angle_alpha 90.00
_cell_angle_beta 90.00
_cell_angle_gamma 90.00
_space_group_name_H-M_alt 'P 1'
_space_group_IT_number 1
_space_group_name_Hall 'P 1'
loop_
_atom_site_label
_atom_site_type_symbol
_atom_site_fract_x
_atom_site_fract_y
_atom_site_fract_z
Bi1 Bi 0.0000 0.0000 0.0000
S1 S 0.0000 0.5000 0.0000
S2 S 0.5000 0.0000 0.0000
I1 I 0.5000 0.5000 0.5000
Cl1 Cl 0.0000 0.0000 0.5000
```

symmetry = No. 123
mass density = 4.591 g/cm3
E_tot = -0.206 Ry per atom
polymorph energy (0 for the lowest one) = 0 kJ/mol of formula units
magnetization = 2.73 μB per cell